The following is a meta-GGA SCAN calculation of a PBEsol-optimized structure of TaAgHg2, from Alexandria via LeMat-Bulk.

Calculated values
The final energy is -57.9906 eV/atom.

CIF file:
```
data_TaAgHg2
_cell_length_a 4.204
_cell_length_b 4.204
_cell_length_c 5.151
_cell_angle_alpha 114.08
_cell_angle_beta 114.08
_cell_angle_gamma 90.00
_space_group_name_H-M_alt 'P 1'
_space_group_IT_number 1
loop_
_space_group_symop_operation_xyz
'x,y,z'
loop_
_atom_site_label
_atom_site_type_symbol
_atom_site_fract_x
_atom_site_fract_y
_atom_site_fract_z
Hg1 Hg 0.000 0.000 0.000
Hg2 Hg 0.750 0.250 0.500
Ag1 Ag 0.250 0.750 0.500
Ta1 Ta 0.500 0.500 0.000
```

=====

The following is a meta-GGA SCAN calculation of a PBEsol-optimized structure of ZnRe2Cl, from Alexandria via LeMat-Bulk.

Calculated values
Its formation energy (no corrections) is 1.048 eV/atom. The final energy is -39.8741 eV/atom.

CIF file:
```
data_ZnRe2Cl
_cell_length_a 4.378
_cell_length_b 4.378
_cell_length_c 4.378
_cell_angle_alpha 60.00
_cell_angle_beta 60.00
_cell_angle_gamma 60.00
_space_group_name_H-M_alt 'P 1'
_space_group_IT_number 1
loop_
_space_group_symop_operation_xyz
'x,y,z'
loop_
_atom_site_label
_atom_site_type_symbol
_atom_site_fract_x
_atom_site_fract_y
_atom_site_fract_z
Re1 Re 0.000 0.000 0.000
Re2 Re 0.250 0.250 0.250
Zn1 Zn 0.750 0.750 0.750
Cl1 Cl 0.500 0.500 0.500
```

=====

The following is a meta-GGA SCAN calculation of a PBEsol-optimized structure of CaZrAsBr2, from Alexandria via LeMat-Bulk.

Calculated values
Its formation energy (no corrections) is -0.958 eV/atom. The final energy is -20.8526 eV/atom.

CIF file:
```
data_CaZrAsBr2
_cell_length_a 5.166
_cell_length_b 5.166
_cell_length_c 5.305
_cell_angle_alpha 90.00
_cell_angle_beta 90.00
_cell_angle_gamma 90.00
_space_group_name_H-M_alt 'P 1'
_space_group_IT_number 1
loop_
_space_group_symop_operation_xyz
'x,y,z'
loop_
_atom_site_label
_atom_site_type_symbol
_atom_site_fract_x
_atom_site_fract_y
_atom_site_fract_z
As1 As 0.000 0.000 0.500
Ca1 Ca 0.500 0.500 0.500
Br1 Br 0.000 0.500 0.000
Br2 Br 0.500 0.000 0.000
Zr1 Zr 0.000 0.000 0.000
```

=====

The following is a meta-GGA SCAN calculation of a PBEsol-optimized structure of HgGeSN2, from Alexandria via LeMat-Bulk.

Calculated values
Its formation energy (no corrections) is 1.832 eV/atom. The final energy is -21.2611 eV/atom.

CIF file:
```
data_HgGeSN2
_cell_length_a 4.144
_cell_length_b 4.144
_cell_length_c 5.322
_cell_angle_alpha 90.00
_cell_angle_beta 90.00
_cell_angle_gamma 90.00
_space_group_name_H-M_alt 'P 1'
_space_group_IT_number 1
loop_
_space_group_symop_operation_xyz
'x,y,z'
loop_
_atom_site_label
_atom_site_type_symbol
_atom_site_fract_x
_atom_site_fract_y
_atom_site_fract_z
S1 S 0.000 0.000 0.500
Ge1 Ge 0.500 0.500 0.500
Hg1 Hg 0.000 0.000 0.000
N1 N 0.000 0.500 0.000
N2 N 0.500 0.000 0.000
```

=====

The following is a meta-GGA SCAN calculation of a PBEsol-optimized structure of Si2AsP, from Alexandria via LeMat-Bulk.

Calculated values
Its formation energy (no corrections) is 0.703 eV/atom. The final energy is -11.9527 eV/atom.

CIF file:
```
data_Si2AsP
_cell_length_a 2.736
_cell_length_b 5.097
_cell_length_c 5.196
_cell_angle_alpha 116.52
_cell_angle_beta 100.45
_cell_angle_gamma 99.61
_space_group_name_H-M_alt 'P 1'
_space_group_IT_number 1
loop_
_space_group_symop_operation_xyz
'x,y,z'
loop_
_atom_site_label
_atom_site_type_symbol
_atom_site_fract_x
_atom_site_fract_y
_atom_site_fract_z
P1 P 0.500 0.000 0.000
As1 As 0.000 0.500 0.000
Si1 Si 0.500 0.500 0.500
Si2 Si 0.000 0.000 0.500
```

=====

The following is a meta-GGA SCAN calculation of a PBEsol-optimized structure of LaTcBr2, from Alexandria via LeMat-Bulk.

Calculated values
Its formation energy (no corrections) is 0.101 eV/atom. The final energy is -29.1703 eV/atom.

CIF file:
```
data_LaTcBr2
_cell_length_a 3.399
_cell_length_b 3.434
_cell_length_c 8.815
_cell_angle_alpha 90.00
_cell_angle_beta 90.00
_cell_angle_gamma 119.67
_space_group_name_H-M_alt 'P 1'
_space_group_IT_number 1
loop_
_space_group_symop_operation_xyz
'x,y,z'
loop_
_atom_site_label
_atom_site_type_symbol
_atom_site_fract_x
_atom_site_fract_y
_atom_site_fract_z
Tc1 Tc 0.500 0.000 0.000
Br1 Br 0.000 0.000 0.788
Br2 Br 0.000 0.000 0.212
La1 La 0.500 0.000 0.500
```

=====

The following is a meta-GGA SCAN calculation of a PBEsol-optimized structure of FeSn3N, from Alexandria via LeMat-Bulk.

Calculated values
Its formation energy (no corrections) is 0.949 eV/atom. The final energy is -26.0876 eV/atom.

CIF file:
```
data_FeSn3N
_cell_length_a 4.743
_cell_length_b 4.743
_cell_length_c 4.743
_cell_angle_alpha 90.00
_cell_angle_beta 90.00
_cell_angle_gamma 90.00
_space_group_name_H-M_alt 'P 1'
_space_group_IT_number 1
loop_
_space_group_symop_operation_xyz
'x,y,z'
loop_
_atom_site_label
_atom_site_type_symbol
_atom_site_fract_x
_atom_site_fract_y
_atom_site_fract_z
N1 N 0.500 0.500 0.500
Sn1 Sn 0.000 0.500 0.000
Sn2 Sn 0.000 0.000 0.500
Sn3 Sn 0.500 0.000 0.000
Fe1 Fe 0.000 0.000 0.000
```

=====

The following is a meta-GGA SCAN calculation of a PBEsol-optimized structure of SrAgIr2, from Alexandria via LeMat-Bulk.

Calculated values
The final energy is -48.6312 eV/atom.

CIF file:
```
data_SrAgIr2
_cell_length_a 2.837
_cell_length_b 5.071
_cell_length_c 5.375
_cell_angle_alpha 99.16
_cell_angle_beta 90.00
_cell_angle_gamma 106.25
_space_group_name_H-M_alt 'P 1'
_space_group_IT_number 1
loop_
_space_group_symop_operation_xyz
'x,y,z'
loop_
_atom_site_label
_atom_site_type_symbol
_atom_site_fract_x
_atom_site_fract_y
_atom_site_fract_z
Ag1 Ag 0.500 0.000 0.000
Ir1 Ir 0.759 0.519 0.802
Ir2 Ir 0.241 0.481 0.198
Sr1 Sr 0.000 0.000 0.500
```

=====

The following is a meta-GGA SCAN calculation of a PBEsol-optimized structure of BaEr2F8, from Alexandria via LeMat-Bulk.

Calculated values
Its formation energy (no corrections) is -4.406 eV/atom. The final energy is -19.7284 eV/atom.

CIF file:
```
data_BaEr2F8
_cell_length_a 4.217
_cell_length_b 6.216
_cell_length_c 6.216
_cell_angle_alpha 112.80
_cell_angle_beta 95.21
_cell_angle_gamma 95.21
_space_group_name_H-M_alt 'P 1'
_space_group_IT_number 1
loop_
_space_group_symop_operation_xyz
'x,y,z'
loop_
_atom_site_label
_atom_site_type_symbol
_atom_site_fract_x
_atom_site_fract_y
_atom_site_fract_z
Ba1 Ba 0.000 0.000 0.000
Er1 Er 0.500 0.676 0.324
Er2 Er 0.500 0.324 0.676
F1 F 0.000 0.261 0.739
F2 F 0.000 0.739 0.261
F3 F 0.775 0.607 0.607
F4 F 0.562 0.328 0.047
F5 F 0.438 0.953 0.672
F6 F 0.438 0.672 0.953
F7 F 0.562 0.047 0.328
F8 F 0.225 0.393 0.393
```

=====

The following is a meta-GGA SCAN calculation of a PBEsol-optimized structure of SiAsN2, from Alexandria via LeMat-Bulk.

Calculated values
Its formation energy (no corrections) is -0.065 eV/atom. The final energy is -12.2627 eV/atom.

CIF file:
```
data_SiAsN2
_cell_length_a 4.887
_cell_length_b 5.277
_cell_length_c 4.887
_cell_angle_alpha 62.41
_cell_angle_beta 90.00
_cell_angle_gamma 117.59
_space_group_name_H-M_alt 'P 1'
_space_group_IT_number 1
loop_
_space_group_symop_operation_xyz
'x,y,z'
loop_
_atom_site_label
_atom_site_type_symbol
_atom_site_fract_x
_atom_site_fract_y
_atom_site_fract_z
As1 As 0.750 0.500 0.750
As2 As 0.000 0.000 0.000
Si1 Si 0.250 0.500 0.250
Si2 Si 0.500 0.000 0.500
N1 N 0.523 0.750 0.375
N2 N 0.227 0.750 0.875
N3 N 0.875 0.250 0.523
N4 N 0.375 0.250 0.227
```

=====

The following is a meta-GGA SCAN calculation of a PBEsol-optimized structure of Tl3VS4, from Alexandria via LeMat-Bulk.

Calculated values
Its formation energy (no corrections) is -0.690 eV/atom. The final energy is -34.8243 eV/atom.

CIF file:
```
data_Tl3VS4
_cell_length_a 6.416
_cell_length_b 6.416
_cell_length_c 6.416
_cell_angle_alpha 109.47
_cell_angle_beta 109.47
_cell_angle_gamma 109.47
_space_group_name_H-M_alt 'P 1'
_space_group_IT_number 1
loop_
_space_group_symop_operation_xyz
'x,y,z'
loop_
_atom_site_label
_atom_site_type_symbol
_atom_site_fract_x
_atom_site_fract_y
_atom_site_fract_z
Tl1 Tl 0.000 0.500 0.500
Tl2 Tl 0.500 0.000 0.500
Tl3 Tl 0.500 0.500 0.000
V1 V 0.000 0.000 0.000
S1 S 0.665 0.000 0.000
S2 S 0.000 0.665 0.000
S3 S 0.335 0.335 0.335
S4 S 0.000 0.000 0.665
```

=====

The following is a meta-GGA SCAN calculation of a PBEsol-optimized structure of LaI, from Alexandria via LeMat-Bulk.

Calculated values
Its formation energy (no corrections) is -1.186 eV/atom. The final energy is -41.1090 eV/atom.

CIF file:
```
data_LaI
_cell_length_a 3.904
_cell_length_b 3.904
_cell_length_c 9.454
_cell_angle_alpha 90.00
_cell_angle_beta 90.00
_cell_angle_gamma 120.00
_space_group_name_H-M_alt 'P 1'
_space_group_IT_number 1
loop_
_space_group_symop_operation_xyz
'x,y,z'
loop_
_atom_site_label
_atom_site_type_symbol
_atom_site_fract_x
_atom_site_fract_y
_atom_site_fract_z
I1 I 0.667 0.333 0.750
I2 I 0.333 0.667 0.250
La1 La 0.000 0.000 0.000
La2 La 0.000 0.000 0.500
```

=====

> Which value of final energy does entry 3 give?

-20.8526 eV/atom

=====

> What is the formula in the twelfth record?

LaI